Entry 1:
Material: Sc4ZnSnRu2
Method: DFT, PBE
State: optimized geometry

* ΔH_f (0 K): -524 meV/atom
* volume: 147 Å³/cell

abc: 8.180 8.180 8.180
angles: 33.33 33.33 33.33
Element x y z (fractional)
Sc  0.120  0.120  0.120
Sc  0.371  0.371  0.371
Sc  0.629  0.629  0.629
Sc  0.880  0.880  0.880
Zn  0.000  0.000  0.000
Sn  0.500  0.500  0.500
Ru  0.250  0.250  0.250
Ru  0.750  0.750  0.750

Entry 2:
Material: ZrScSnRu
Method: DFT, PBE
State: optimized geometry

* ΔH_f (0 K): -408 meV/atom
* volume: 75 Å³/cell

abc: 4.740 4.740 4.740
angles: 60.00 60.00 60.00
Element x y z (fractional)
Zr  0.000  0.000  0.000
Sc  0.750  0.750  0.750
Sn  0.500  0.500  0.500
Ru  0.250  0.250  0.250

Entry 3:
Material: SrScRu
Method: DFT, PBE
State: optimized geometry

* ΔH_f (0 K): -31 meV/atom
* volume: 75 Å³/cell

abc: 6.749 6.749 6.749
angles: 150.39 150.39 42.37
Element x y z (fractional)
Sr  0.000  0.000  0.000
Sc  0.259  0.259  0.000
Ru  0.667  0.667  0.000

Entry 4:
Material: SrScRu2
Method: DFT, PBE
State: optimized geometry

* ΔH_f (0 K): 248 meV/atom
* volume: 90 Å³/cell

abc: 3.315 3.315 8.213
angles: 90.00 90.00 90.00
Element x y z (fractional)
Sr  0.000  0.000  0.000
Sc  0.500  0.500  0.606
Ru  0.000  0.000  0.421
Ru  0.500  0.500  0.278

Entry 5:
Material: SrScRu2
Method: DFT, PBE
State: optimized geometry

* ΔH_f (0 K): 137 meV/atom
* volume: 82 Å³/cell

abc: 3.413 3.413 7.052
angles: 90.00 90.00 90.00
Element x y z (fractional)
Sr  0.000  0.000  0.000
Sc  0.000  0.000  0.500
Ru  0.500  0.500  0.309
Ru  0.500  0.500  0.691

Entry 6:
Material: SrScRu
Method: DFT, PBE
State: optimized geometry

* ΔH_f (0 K): 1261 meV/atom
* volume: 77 Å³/cell

abc: 4.767 4.767 4.767
angles: 60.00 60.00 60.00
Element x y z (fractional)
Sr  0.000  0.000  0.000
Sc  0.750  0.750  0.750
Ru  0.250  0.250  0.250

Entry 7:
Material: Sr2ScRu
Method: DFT, PBE
State: optimized geometry

* ΔH_f (0 K): 292 meV/atom
* volume: 316 Å³/cell

abc: 8.453 8.453 8.453
angles: 94.66 94.66 146.86
Element x y z (fractional)
Sr  0.375  0.213  0.338
Sr  0.787  0.125  0.162
Sr  0.875  0.037  0.662
Sr  0.963  0.625  0.838
Sc  0.250  0.750  0.500
Sc  0.500  0.500  0.000
Ru  0.000  0.000  0.000
Ru  0.750  0.250  0.500

Entry 8:
Material: SrScRu2
Method: DFT, PBE
State: optimized geometry

* ΔH_f (0 K): 114 meV/atom
* volume: 99 Å³/cell

abc: 4.234 4.273 5.860
angles: 90.00 111.07 90.00
Element x y z (fractional)
Sr  0.000  0.000  0.000
Sc  0.273  0.500  0.548
Ru  0.627  0.500  0.254
Ru  0.718  0.000  0.437

Entry 9:
Material: SrScRu2
Method: DFT, PBE
State: optimized geometry

* ΔH_f (0 K): 304 meV/atom
* volume: 77 Å³/cell

abc: 3.063 3.063 8.824
angles: 90.00 90.00 111.95
Element x y z (fractional)
Sr  0.000  0.000  0.000
Sc  0.000  0.000  0.500
Ru  0.500  0.500  0.275
Ru  0.500  0.500  0.725

Entry 10:
Material: Sr2ScRu
Method: DFT, PBE
State: optimized geometry

* ΔH_f (0 K): 451 meV/atom
* volume: 104 Å³/cell

abc: 5.283 5.283 5.283
angles: 60.00 60.00 60.00
Element x y z (fractional)
Sr  0.000  0.000  0.000
Sr  0.250  0.250  0.250
Sc  0.750  0.750  0.750
Ru  0.500  0.500  0.500

Entry 11:
Material: SrScRu2
Method: DFT, PBE
State: optimized geometry

* ΔH_f (0 K): 488 meV/atom
* volume: 214 Å³/cell

abc: 9.505 9.505 9.505
angles: 150.04 150.04 42.89
Element x y z (fractional)
Sr  0.375  0.625  0.750
Sr  0.625  0.375  0.250
Sc  0.125  0.875  0.250
Sc  0.875  0.125  0.750
Ru  0.000  0.000  0.000
Ru  0.000  0.000  0.500
Ru  0.000  0.500  0.000
Ru  0.500  0.000  0.500

Entry 12:
Material: SrScRu2
Method: DFT, PBE
State: optimized geometry

* ΔH_f (0 K): 255 meV/atom
* volume: 80 Å³/cell

abc: 5.874 5.874 5.874
angles: 148.33 131.00 59.53
Element x y z (fractional)
Sr  0.000  0.000  0.000
Sc  0.715  0.215  0.500
Ru  0.267  0.767  0.500
Ru  0.472  0.472  0.000

no.,size of the total moment (Bohr magnetons per cell)
1,0.0
2,0.6
3,0.0
4,0.8
5,1.4
6,0.0
7,0.0
8,0.0
9,0.0
10,0.0
11,0.0
12,0.0